# GGA+U LaTlCoO3, relaxed
# Calculated volume in A^3/atom: 17.16
# Uncorrected energy in eV/cell: -75.577
data_LaTlCoO3
_chemical_formula_sum 'La2 Tl2 Co2 O6'
_space_group_name_H-M_alt 'P 1'
_space_group_IT_number 1
_cell_length_a 5.9090
_cell_length_b 5.9090
_cell_length_c 9.8861
_cell_angle_alpha 90.00
_cell_angle_beta 90.00
_cell_angle_gamma 143.37
loop_
_space_group_symop_operation_xyz
'x,y,z'
loop_
_atom_site_label
_atom_site_type_symbol
_atom_site_fract_x
_atom_site_fract_y
_atom_site_fract_z
La1 La 0.0000 0.0000 0.0000
La2 La 0.0000 0.0000 0.5000
Tl1 Tl 0.2747 0.7253 0.7500
Tl2 Tl 0.7253 0.2747 0.2500
Co1 Co 0.4436 0.5564 0.2500
Co2 Co 0.5564 0.4436 0.7500
O1 O 0.0323 0.9677 0.2500
O2 O 0.3812 0.6188 0.0706
O3 O 0.3812 0.6188 0.4294
O4 O 0.6188 0.3812 0.5706
O5 O 0.6188 0.3812 0.9294
O6 O 0.9677 0.0323 0.7500